Entry 1:
# Rb5H2F3 PBE optimized geometry
data_Rb5H2F3
_chemical_formula_sum 'Rb10 H4 F6'
_symmetry_space_group_name_H-M 'C 1 2/m 1'
_symmetry_Int_Tables_number 12
_symmetry_space_group_name_Hall '-C 2y'
_cell_length_a 14.7837
_cell_length_b 4.1175
_cell_length_c 10.6341
_cell_angle_alpha 90.00
_cell_angle_beta 125.73
_cell_angle_gamma 90.00
loop_
_atom_site_label
_atom_site_type_symbol
_atom_site_fract_x
_atom_site_fract_y
_atom_site_fract_z
_atom_site_occupancy
Rb1 Rb 0.0000 0.0000 0.0000 1
Rb2 Rb 0.0924 0.0000 0.4119 1
Rb3 Rb 0.1995 0.5000 0.8082 1
H1 H 0.1715 0.5000 0.2689 1
F1 F 0.0000 0.5000 0.5000 1
F2 F 0.1137 0.0000 0.8736 1
# **Density of states at the Fermi level**: 0.00 states/eV/f.u.
# **Total energy**: -67.1 eV for the cell shown


Entry 2:
# Rb3H2F8 PBE optimized geometry
data_Rb3H2F8
_chemical_formula_sum 'Rb9 H6 F24'
_symmetry_space_group_name_H-M 'R -3 m'
_symmetry_Int_Tables_number 166
_symmetry_space_group_name_Hall '-R 3 2"'
_cell_length_a 5.4441
_cell_length_b 5.4441
_cell_length_c 24.5753
_cell_angle_alpha 90.00
_cell_angle_beta 90.00
_cell_angle_gamma 120.00
loop_
_atom_site_label
_atom_site_type_symbol
_atom_site_fract_x
_atom_site_fract_y
_atom_site_fract_z
_atom_site_occupancy
Rb1 Rb 0.0000 0.0000 0.0000 1
Rb2 Rb 0.0000 0.0000 0.2064 1
H1 H 0.0000 0.0000 0.3749 1
F1 F 0.0000 0.0000 0.3357 1
F2 F 0.0179 0.5090 0.2347 1
# **Density of states at the Fermi level**: 5.20 states/eV/f.u.
# **Total energy**: -139.9 eV for the cell shown


Entry 3:
# RbHF2 PBE optimized geometry
data_RbHF2
_chemical_formula_sum 'Rb2 H2 F4'
_symmetry_space_group_name_H-M 'P 63/m m c'
_symmetry_Int_Tables_number 194
_symmetry_space_group_name_Hall '-P 6c 2c'
_cell_length_a 4.3438
_cell_length_b 4.3438
_cell_length_c 10.0104
_cell_angle_alpha 90.00
_cell_angle_beta 90.00
_cell_angle_gamma 120.00
loop_
_atom_site_label
_atom_site_type_symbol
_atom_site_fract_x
_atom_site_fract_y
_atom_site_fract_z
_atom_site_occupancy
Rb1 Rb 0.0000 0.0000 0.0000 1
H1 H 0.3333 0.6667 0.2500 1
F1 F 0.3333 0.6667 0.1351 1
# **Density of states at the Fermi level**: 0.00 states/eV/f.u.
# **Total energy**: -34.5 eV for the cell shown


- Number 3 is which compound?
  RbHF2